Entry 1:
A geometry-optimized Tm3TcGe3 structure. Source: Alexandria, functional GGA-PBE.

Cell: 5.777 5.777 13.848 Å, 109.06 109.06 42.48°
Fractional positions:
Tm 0.021 0.021 0.377
Tm 0.101 0.101 0.921
Tm 0.242 0.242 0.230
Tm 0.758 0.758 0.770
Tm 0.899 0.899 0.079
Tm 0.979 0.979 0.623
Tc 0.259 0.259 0.590
Tc 0.741 0.741 0.410
Ge 0.369 0.369 0.455
Ge 0.377 0.377 0.926
Ge 0.458 0.458 0.763
Ge 0.542 0.542 0.237
Ge 0.623 0.623 0.074
Ge 0.631 0.631 0.545

Calculated values
- Total magnetization: 0.00 μB/f.u.
- Fermi-level density of states: 5.3 states/eV/f.u.
- Formation energy from the elements: -726 meV per atom



Entry 2:
A geometry-optimized HoPaCdSn structure. Source: Alexandria, functional GGA-PBE.

Cell: 7.490 7.490 7.490 Å, 90.00 90.00 90.00°
Fractional positions:
Ho 0.000 0.000 0.000
Ho 0.000 0.500 0.500
Ho 0.500 0.000 0.500
Ho 0.500 0.500 0.000
Pa 0.000 0.000 0.500
Pa 0.000 0.500 0.000
Pa 0.500 0.000 0.000
Pa 0.500 0.500 0.500
Cd 0.250 0.250 0.750
Cd 0.250 0.750 0.250
Cd 0.750 0.250 0.250
Cd 0.750 0.750 0.750
Sn 0.250 0.250 0.250
Sn 0.250 0.750 0.750
Sn 0.750 0.250 0.750
Sn 0.750 0.750 0.250

Calculated values
- Total magnetization: 1.70 μB/f.u.
- Fermi-level density of states: 8.6 states/eV/f.u.
- Formation energy from the elements: -113 meV per atom



Entry 3:
A geometry-optimized BaCd3As structure. Source: Alexandria, functional GGA-PBE.

Cell: 5.468 5.468 5.468 Å, 90.00 90.00 90.00°
Fractional positions:
Ba 0.000 0.000 0.000
Cd 0.000 0.500 0.500
Cd 0.500 0.000 0.500
Cd 0.500 0.500 0.000
As 0.500 0.500 0.500

Calculated values
- Total magnetization: 0.00 μB/f.u.
- Relative energy among the computed polymorphs: 0.000 eV per atom
- Fermi-level density of states: 3.5 states/eV/f.u.
- Formation energy from the elements: -9 meV per atom



Entry 4:
A geometry-optimized SrNiW2 structure. Source: Alexandria, functional GGA-PBE.

Cell: 2.699 5.154 5.348 Å, 90.00 90.00 90.00°
Fractional positions:
Sr 0.000 0.000 0.000
Ni 0.000 0.000 0.500
W 0.500 0.500 0.255
W 0.500 0.500 0.745

Calculated values
- Total magnetization: 0.00 μB/f.u.
- Relative energy among the computed polymorphs: 0.610 eV per atom
- Fermi-level density of states: 4.4 states/eV/f.u.
- Formation energy from the elements: 1179 meV per atom



Entry 5:
A geometry-optimized Sm3Er12Mg structure. Source: Alexandria, functional GGA-PBE.

Cell: 4.970 4.970 19.907 Å, 90.00 90.00 90.00°
Fractional positions:
Sm 0.000 0.000 0.000
Sm 0.000 0.000 0.252
Sm 0.000 0.000 0.748
Er 0.000 0.500 0.127
Er 0.000 0.500 0.378
Er 0.000 0.500 0.622
Er 0.000 0.500 0.873
Er 0.500 0.000 0.127
Er 0.500 0.000 0.378
Er 0.500 0.000 0.622
Er 0.500 0.000 0.873
Er 0.500 0.500 0.000
Er 0.500 0.500 0.255
Er 0.500 0.500 0.500
Er 0.500 0.500 0.745
Mg 0.000 0.000 0.500

Calculated values
- Total magnetization: 0.00 μB/f.u.
- Fermi-level density of states: 19.8 states/eV/f.u.
- Formation energy from the elements: 24 meV per atom



Entry 6:
A geometry-optimized Li4Ca2Zn structure. Source: Alexandria, functional GGA-PBE.

Cell: 4.832 4.832 16.181 Å, 90.00 90.00 90.00°
Fractional positions:
Li 0.000 0.000 0.158
Li 0.000 0.000 0.842
Li 0.000 0.500 0.000
Li 0.000 0.500 0.500
Li 0.500 0.000 0.000
Li 0.500 0.000 0.500
Li 0.500 0.500 0.342
Li 0.500 0.500 0.658
Ca 0.000 0.000 0.362
Ca 0.000 0.000 0.638
Ca 0.500 0.500 0.138
Ca 0.500 0.500 0.862
Zn 0.000 0.000 0.000
Zn 0.500 0.500 0.500

Calculated values
- Total magnetization: 0.00 μB/f.u.
- Fermi-level density of states: 5.4 states/eV/f.u.
- Formation energy from the elements: 94 meV per atom



Entry 7:
A geometry-optimized TaWSeN2 structure. Source: Alexandria, functional GGA-PBE.

Cell: 3.992 3.992 5.328 Å, 90.00 90.00 90.00°
Fractional positions:
Ta 0.000 0.000 0.000
W 0.500 0.500 0.500
Se 0.000 0.000 0.500
N 0.000 0.500 0.000
N 0.500 0.000 0.000

Calculated values
- Total magnetization: 3.21 μB/f.u.
- Relative energy among the computed polymorphs: 0.123 eV per atom
- Formation energy (no corrections): 0.913 eV per atom
- Fermi-level density of states: 3.4 states/eV/f.u.



Entry 8:
A geometry-optimized KLa2Sc structure. Source: Alexandria, functional GGA-PBE.

Cell: 3.660 3.660 39.252 Å, 90.00 90.00 120.00°
Fractional positions:
K 0.000 0.000 0.000
K 0.333 0.667 0.667
K 0.667 0.333 0.333
La 0.000 0.000 0.235
La 0.000 0.000 0.765
La 0.333 0.667 0.431
La 0.333 0.667 0.902
La 0.667 0.333 0.098
La 0.667 0.333 0.569
Sc 0.000 0.000 0.500
Sc 0.333 0.667 0.167
Sc 0.667 0.333 0.833

Calculated values
- Total magnetization: 0.00 μB/f.u.
- Relative energy among the computed polymorphs: 0.000 eV per atom
- Fermi-level density of states: 3.9 states/eV/f.u.
- Formation energy from the elements: 193 meV per atom



Entry 9:
A geometry-optimized Li2CaMn structure. Source: Alexandria, functional GGA-PBE.

Cell: 4.312 4.491 4.790 Å, 90.00 90.00 90.00°
Fractional positions:
Li 0.000 0.000 0.000
Li 0.500 0.500 0.000
Ca 0.000 0.500 0.500
Mn 0.500 0.000 0.500

Calculated values
- Total magnetization: 3.69 μB/f.u.
- Relative energy among the computed polymorphs: 0.064 eV per atom
- Fermi-level density of states: 3.6 states/eV/f.u.
- Formation energy from the elements: 361 meV per atom



Entry 10:
A geometry-optimized Li2Bi3Pd8 structure. Source: Alexandria, functional GGA-PBE.

Cell: 10.408 10.408 10.408 Å, 29.67 29.67 29.67°
Fractional positions:
Li 0.136 0.136 0.136
Li 0.864 0.864 0.864
Bi 0.308 0.308 0.308
Bi 0.500 0.500 0.500
Bi 0.692 0.692 0.692
Pd 0.217 0.217 0.217
Pd 0.236 0.236 0.733
Pd 0.236 0.733 0.236
Pd 0.267 0.764 0.764
Pd 0.733 0.236 0.236
Pd 0.764 0.267 0.764
Pd 0.764 0.764 0.267
Pd 0.783 0.783 0.783

Calculated values
- Total magnetization: 0.00 μB/f.u.
- Fermi-level density of states: 4.6 states/eV/f.u.
- Formation energy from the elements: -153 meV per atom



Entry 11:
A geometry-optimized MgSc2As structure. Source: Alexandria, functional GGA-PBE.

Cell: 3.694 3.694 24.246 Å, 90.00 90.00 120.00°
Fractional positions:
Mg 0.000 0.000 0.000
Mg 0.333 0.667 0.667
Mg 0.667 0.333 0.333
Sc 0.000 0.000 0.232
Sc 0.000 0.000 0.768
Sc 0.333 0.667 0.435
Sc 0.333 0.667 0.898
Sc 0.667 0.333 0.102
Sc 0.667 0.333 0.565
As 0.000 0.000 0.500
As 0.333 0.667 0.167
As 0.667 0.333 0.833

Calculated values
- Total magnetization: 0.00 μB/f.u.
- Fermi-level density of states: 2.6 states/eV/f.u.
- Formation energy from the elements: -588 meV per atom



Entry 12:
A geometry-optimized Na3ErNp3Te8 structure. Source: Alexandria, functional GGA-PBE.

Cell: 8.866 8.866 9.120 Å, 119.05 119.05 60.03°
Fractional positions:
Na 0.000 0.000 0.000
Na 0.000 0.500 0.000
Na 0.500 0.000 0.000
Er 0.000 0.000 0.500
Np 0.000 0.500 0.500
Np 0.500 0.000 0.500
Np 0.500 0.500 0.500
Te 0.243 0.243 0.730
Te 0.243 0.744 0.730
Te 0.255 0.255 0.266
Te 0.256 0.757 0.270
Te 0.744 0.243 0.730
Te 0.745 0.745 0.734
Te 0.757 0.256 0.270
Te 0.757 0.757 0.270

Calculated values
- Total magnetization: 11.00 μB/f.u.
- Formation energy (no corrections): -0.894 eV per atom
- Fermi-level density of states: 26.5 states/eV/f.u.



Entry 13:
A geometry-optimized GaNi2HPt structure. Source: Alexandria, functional GGA-PBE.

Cell: 3.743 3.743 3.855 Å, 90.00 90.00 90.00°
Fractional positions:
Ga 0.000 0.000 0.000
Ni 0.000 0.500 0.500
Ni 0.500 0.000 0.500
H 0.500 0.500 0.500
Pt 0.500 0.500 0.000

Calculated values
- Total magnetization: 0.00 μB/f.u.
- Relative energy among the computed polymorphs: 0.000 eV per atom
- Fermi-level density of states: 1.8 states/eV/f.u.



Entry 14:
A geometry-optimized Ac12YRh7 structure. Source: Alexandria, functional GGA-PBE.

Cell: 9.499 9.499 9.499 Å, 107.35 107.35 107.35°
Fractional positions:
Ac 0.051 0.346 0.128
Ac 0.128 0.051 0.346
Ac 0.188 0.722 0.576
Ac 0.278 0.424 0.812
Ac 0.346 0.128 0.051
Ac 0.424 0.812 0.278
Ac 0.576 0.188 0.722
Ac 0.654 0.872 0.949
Ac 0.722 0.576 0.188
Ac 0.812 0.278 0.424
Ac 0.872 0.949 0.654
Ac 0.949 0.654 0.872
Y 0.500 0.500 0.500
Rh 0.000 0.000 0.000
Rh 0.154 0.384 0.474
Rh 0.384 0.474 0.154
Rh 0.474 0.154 0.384
Rh 0.526 0.846 0.616
Rh 0.616 0.526 0.846
Rh 0.846 0.616 0.526

Calculated values
- Total magnetization: 0.00 μB/f.u.
- Fermi-level density of states: 16.3 states/eV/f.u.
- Formation energy from the elements: -554 meV per atom



Entry 15:
A geometry-optimized KNb2GaAs structure. Source: Alexandria, functional GGA-PBE.

Cell: 4.729 4.729 5.190 Å, 90.00 90.00 90.00°
Fractional positions:
K 0.000 0.000 0.000
Nb 0.000 0.500 0.000
Nb 0.500 0.000 0.000
Ga 0.500 0.500 0.500
As 0.000 0.000 0.500

Calculated values
- Total magnetization: 0.30 μB/f.u.
- Relative energy among the computed polymorphs: 1.140 eV per atom
- Fermi-level density of states: 5.7 states/eV/f.u.
- Formation energy from the elements: 2345 meV per atom



Entry 16:
A geometry-optimized Zr2InNi2 structure. Source: Alexandria, functional GGA-PBE.

Cell: 7.231 7.231 3.351 Å, 90.00 90.00 90.00°
Fractional positions:
Zr 0.168 0.332 0.000
Zr 0.332 0.832 0.000
Zr 0.668 0.168 0.000
Zr 0.832 0.668 0.000
In 0.000 0.000 0.500
In 0.500 0.500 0.500
Ni 0.125 0.625 0.500
Ni 0.375 0.125 0.500
Ni 0.625 0.875 0.500
Ni 0.875 0.375 0.500

Calculated values
- Total magnetization: 0.00 μB/f.u.
- Fermi-level density of states: 3.6 states/eV/f.u.
- Formation energy from the elements: -499 meV per atom



Entry 17:
A geometry-optimized Y2TaRe structure. Source: Alexandria, functional GGA-PBE.

Cell: 4.916 4.916 6.996 Å, 90.00 90.00 90.00°
Fractional positions:
Y 0.000 0.000 0.000
Y 0.000 0.500 0.250
Y 0.500 0.000 0.750
Y 0.500 0.500 0.500
Ta 0.000 0.000 0.500
Ta 0.500 0.500 0.000
Re 0.000 0.500 0.750
Re 0.500 0.000 0.250

Calculated values
- Total magnetization: 0.00 μB/f.u.
- Relative energy among the computed polymorphs: 0.345 eV per atom
- Fermi-level density of states: 6.2 states/eV/f.u.
- Formation energy from the elements: 380 meV per atom



Entry 18:
A geometry-optimized PmGaHg structure. Source: Alexandria, functional GGA-PBE.

Cell: 4.717 4.717 3.699 Å, 90.00 90.00 120.00°
Fractional positions:
Pm 0.000 0.000 0.000
Ga 0.667 0.333 0.496
Hg 0.333 0.667 0.502

Calculated values
- Total magnetization: 0.00 μB/f.u.
- Relative energy among the computed polymorphs: 0.007 eV per atom
- Fermi-level density of states: 1.6 states/eV/f.u.
- Formation energy from the elements: -524 meV per atom



Entry 19:
A geometry-optimized AcSmTh2 structure. Source: Alexandria, functional GGA-PBE.

Cell: 4.317 4.317 7.610 Å, 90.00 90.00 90.00°
Fractional positions:
Ac 0.000 0.000 0.000
Sm 0.000 0.000 0.500
Th 0.500 0.500 0.280
Th 0.500 0.500 0.720

Calculated values
- Total magnetization: 0.00 μB/f.u.
- Relative energy among the computed polymorphs: 0.110 eV per atom
- Fermi-level density of states: 6.8 states/eV/f.u.
- Formation energy from the elements: 224 meV per atom



Entry 20:
A geometry-optimized LaHoCdAg structure. Source: Alexandria, functional GGA-PBE.

Cell: 7.570 7.570 7.570 Å, 90.00 90.00 90.00°
Fractional positions:
La 0.000 0.000 0.000
La 0.000 0.500 0.500
La 0.500 0.000 0.500
La 0.500 0.500 0.000
Ho 0.000 0.000 0.500
Ho 0.000 0.500 0.000
Ho 0.500 0.000 0.000
Ho 0.500 0.500 0.500
Cd 0.250 0.250 0.750
Cd 0.250 0.750 0.250
Cd 0.750 0.250 0.250
Cd 0.750 0.750 0.750
Ag 0.250 0.250 0.250
Ag 0.250 0.750 0.750
Ag 0.750 0.250 0.750
Ag 0.750 0.750 0.250

Calculated values
- Total magnetization: 0.00 μB/f.u.
- Relative energy among the computed polymorphs: 0.023 eV per atom
- Fermi-level density of states: 2.9 states/eV/f.u.
- Formation energy from the elements: -281 meV per atom